No. 1
# ZrTc2Pd | the Alexandria database | PBE-GGA | optimized geometry
# Size of the total moment   0.00 μB per atom
# ΔE_f   0.27 eV/atom
# ΔE to the lowest computed polymorph   107.0 meV per atom
# Density   9.11 g/cm3
data_ZrTc2Pd
_chemical_formula_sum 'Zr4 Tc8 Pd4'
_cell_length_a 3.799
_cell_length_b 3.799
_cell_length_c 19.888
_cell_angle_alpha 90.00
_cell_angle_beta 90.00
_cell_angle_gamma 90.00
_symmetry_space_group_name_H-M 'I -4 2 d'
_symmetry_Int_Tables_number 122
_symmetry_space_group_name_Hall 'I -4 2bw'
loop_
_atom_site_label
_atom_site_type_symbol
_atom_site_fract_x
_atom_site_fract_y
_atom_site_fract_z
Zr1 Zr 0.000 0.000 0.000
Tc1 Tc 0.207 0.250 0.125
Pd1 Pd 0.000 0.000 0.500

No. 2
# LiScSb2 | the Alexandria database | PBE-GGA | optimized geometry
# Size of the total moment   0.00 μB per atom
# Uncorrected formation energy   -591 meV/atom
# ΔE to the lowest computed polymorph   39.1 meV per atom
# Density   5.36 g/cm3
data_LiScSb2
_chemical_formula_sum 'Li2 Sc2 Sb4'
_cell_length_a 10.847
_cell_length_b 3.977
_cell_length_c 4.440
_cell_angle_alpha 90.00
_cell_angle_beta 107.07
_cell_angle_gamma 90.00
_symmetry_space_group_name_H-M 'C 1 m 1'
_symmetry_Int_Tables_number 8
_symmetry_space_group_name_Hall 'C -2y'
loop_
_atom_site_label
_atom_site_type_symbol
_atom_site_fract_x
_atom_site_fract_y
_atom_site_fract_z
Li1 Li 0.000 0.000 0.000
Sc1 Sc 0.264 0.500 0.384
Sb1 Sb 0.249 0.000 0.882
Sb2 Sb 0.492 0.000 0.463

No. 3
# Th4NiSb | the Alexandria database | PBE-GGA | optimized geometry
# Size of the total moment   0.00 μB per atom
# Uncorrected formation energy   -155 meV/atom
# Density   9.99 g/cm3
data_Th4NiSb
_chemical_formula_sum 'Th8 Ni2 Sb2'
_cell_length_a 7.920
_cell_length_b 7.121
_cell_length_c 6.557
_cell_angle_alpha 90.00
_cell_angle_beta 94.47
_cell_angle_gamma 90.00
_symmetry_space_group_name_H-M 'P 1 21/c 1'
_symmetry_Int_Tables_number 14
_symmetry_space_group_name_Hall '-P 2ybc'
loop_
_atom_site_label
_atom_site_type_symbol
_atom_site_fract_x
_atom_site_fract_y
_atom_site_fract_z
Th1 Th 0.130 0.149 0.371
Th2 Th 0.309 0.618 0.392
Ni1 Ni 0.000 0.000 0.000
Sb1 Sb 0.500 0.000 0.500

No. 4
# Li2TiInGe | the Alexandria database | PBE-GGA | optimized geometry
# Size of the total moment   0.53 μB per atom
# ΔE_f   0.92 eV/atom
# Density   3.17 g/cm3
data_Li2TiInGe
_chemical_formula_sum 'Li2 Ti1 In1 Ge1'
_cell_length_a 4.953
_cell_length_b 4.953
_cell_length_c 5.319
_cell_angle_alpha 90.00
_cell_angle_beta 90.00
_cell_angle_gamma 90.00
_symmetry_space_group_name_H-M 'P 4/m m m'
_symmetry_Int_Tables_number 123
_symmetry_space_group_name_Hall '-P 4 2'
loop_
_atom_site_label
_atom_site_type_symbol
_atom_site_fract_x
_atom_site_fract_y
_atom_site_fract_z
Li1 Li 0.000 0.500 0.000
Ti1 Ti 0.000 0.000 0.000
In1 In 0.000 0.000 0.500
Ge1 Ge 0.500 0.500 0.500

No. 5
# Zn2Bi2Ir | the Alexandria database | PBE-GGA | optimized geometry
# Size of the total moment   0.00 μB per atom
# ΔE_f   0.93 eV/atom
# ΔE to the lowest computed polymorph   665.5 meV per atom
# Density   10.43 g/cm3
data_Zn2Bi2Ir
_chemical_formula_sum 'Zn4 Bi4 Ir2'
_cell_length_a 4.414
_cell_length_b 4.414
_cell_length_c 12.112
_cell_angle_alpha 90.00
_cell_angle_beta 90.00
_cell_angle_gamma 90.00
_symmetry_space_group_name_H-M 'I 4/m m m'
_symmetry_Int_Tables_number 139
_symmetry_space_group_name_Hall '-I 4 2'
loop_
_atom_site_label
_atom_site_type_symbol
_atom_site_fract_x
_atom_site_fract_y
_atom_site_fract_z
Zn1 Zn 0.000 0.000 0.093
Bi1 Bi 0.000 0.500 0.250
Ir1 Ir 0.000 0.000 0.500

No. 6
# Sc4Bi3H2 | the Alexandria database | PBE-GGA | optimized geometry
# Raw total energy   -5.38 eV per atom
# Size of the total moment   0.00 μB per atom
# Density   7.22 g/cm3
data_Sc4Bi3H2
_chemical_formula_sum 'Sc16 Bi12 H8'
_cell_length_a 12.491
_cell_length_b 9.560
_cell_length_c 6.371
_cell_angle_alpha 90.00
_cell_angle_beta 101.92
_cell_angle_gamma 90.00
_symmetry_space_group_name_H-M 'C 1 2/c 1'
_symmetry_Int_Tables_number 15
_symmetry_space_group_name_Hall '-C 2yc'
loop_
_atom_site_label
_atom_site_type_symbol
_atom_site_fract_x
_atom_site_fract_y
_atom_site_fract_z
Sc1 Sc 0.119 0.203 0.028
Sc2 Sc 0.186 0.440 0.621
Bi1 Bi 0.000 0.415 0.250
Bi2 Bi 0.124 0.124 0.562
H1 H 0.213 0.368 0.941